First-principles (GGA-PBE) data for a relaxed structure of LiB2C2, as listed in the Alexandria database.

Output
Magnetic moment, μB/atom: 0.00
Symmetry: C2/m
Calculated volume, Å³/cell: 139.3
Excess energy over the best structure of this formula in the dataset, eV per atom: 0.040
Electronic total energy, eV per atom: -6.773

Lattice parameters (Å, degrees): 7.1323 7.1323 7.3468 90.86 89.14 158.12
Last column: nearest neighbours and their distance in Å.
Fractional coordinates of all 15 atoms:
B1 0.7853 0.2147 0.2567  3 C 1.55-1.57
B2 0.4518 0.5482 0.2339  3 C 1.56-1.57
C1 0.7713 0.2287 0.7690  3 B 1.55-1.57
C2 0.8954 0.1046 0.2310  3 B 1.55-1.57
C3 0.4381 0.5619 0.7339  3 B 1.56-1.57
C4 0.1053 0.8947 0.7336  3 B 1.56-1.57
C5 0.2285 0.7715 0.2661  3 B 1.56-1.57
B3 0.8814 0.1186 0.7433  3 C 1.55-1.57
B4 0.2148 0.7852 0.7661  3 C 1.56-1.57
Li1 0.3333 0.6667 0.0000  6 C 2.35-2.43, 6 B 2.41
Li2 0.9868 0.0132 0.4925  6 C 2.32-2.45, 6 B 2.34-2.46
B5 0.1174 0.8826 0.2650  3 C 1.56-1.57
B6 0.5493 0.4507 0.7350  3 C 1.56-1.57
C6 0.5613 0.4387 0.2664  3 B 1.56-1.57
Li3 0.6799 0.3201 0.5075  6 C 2.32-2.45, 6 B 2.34-2.46

First-principles (GGA-PBE) data for a relaxed structure of HfCrAu2, as listed in the Alexandria database.

Output
Magnetic moment, μB/atom: 0.78
Symmetry: I-42d
Calculated volume, Å³/cell: 153.9
Excess energy over the best structure of this formula in the dataset, eV per atom: 0.478
Electronic total energy, eV per atom: -6.259

Lattice parameters (Å, degrees): 3.9892 3.9892 10.0724 78.58 78.58 90.00
Last column: nearest neighbours and their distance in Å.
Fractional coordinates of all 8 atoms:
Au1 0.1353 0.6250 0.2500  4 Au 2.76-2.88, 2 Cr 2.78, 2 Hf 2.81
Au2 0.3750 0.3853 0.7500  4 Au 2.76-2.88, 2 Cr 2.78, 2 Hf 2.81
Au3 0.8750 0.8647 0.7500  4 Au 2.76-2.88, 2 Cr 2.78, 2 Hf 2.81
Hf1 0.0000 0.0000 0.0000  4 Au 2.81, 4 Cr 2.82
Cr1 0.5000 0.5000 0.0000  4 Au 2.78, 4 Hf 2.82
Cr2 0.2500 0.7500 0.5000  4 Au 2.78, 4 Hf 2.82
Hf2 0.7500 0.2500 0.5000  4 Au 2.81, 4 Cr 2.82
Au4 0.6147 0.1250 0.2500  4 Au 2.76-2.88, 2 Cr 2.78, 2 Hf 2.81

First-principles (GGA-PBE) data for a relaxed structure of Ag5BiS6, as listed in the Alexandria database.

Output
Magnetic moment, μB/atom: 0.00
Symmetry: C2/m
Calculated volume, Å³/cell: 251.8
Electronic total energy, eV per atom: -3.591

Lattice parameters (Å, degrees): 7.0092 7.1083 6.6300 57.58 76.68 64.55
Last column: nearest neighbours and their distance in Å.
Fractional coordinates of all 12 atoms:
Ag1 0.5000 0.8316 0.3368  4 S 2.50-2.54
Ag2 0.5000 0.1684 0.6632  4 S 2.50-2.54
S1 0.7601 0.4834 0.6711  3 Ag 2.52-2.54
Bi1 0.0000 0.0000 0.0000  6 S 2.80-2.84
S2 0.7601 0.1545 0.3289  3 Ag 2.52-2.54
S3 0.2399 0.8455 0.6711  3 Ag 2.52-2.54
S4 0.2399 0.5166 0.3289  3 Ag 2.52-2.54
Ag3 0.0000 0.3406 0.3187  4 S 2.52-2.79
S5 0.7332 0.7996 0.0000  4 Ag 2.50-2.79, 1 Bi 2.80
S6 0.2668 0.2004 0.0000  4 Ag 2.50-2.79, 1 Bi 2.80
Ag4 0.5000 0.5000 0.0000  4 S 2.52
Ag5 0.0000 0.6594 0.6813  4 S 2.52-2.79

First-principles (GGA-PBE) data for a relaxed structure of BH4S, as listed in the Alexandria database.

Output
Magnetic moment, μB/atom: 0.00
Symmetry: P1
Calculated volume, Å³/cell: 60.0
Excess energy over the best structure of this formula in the dataset, eV per atom: 0.000
Electronic total energy, eV per atom: -4.039

Lattice parameters (Å, degrees): 5.8913 5.8858 9.6326 26.07 26.03 42.51
Last column: nearest neighbours and their distance in Å.
Fractional coordinates of all 6 atoms:
H1 0.7888 0.5118 0.2050  1 H 0.93
H2 0.3524 0.3784 0.2675  1 B 1.20
S1 0.4196 0.9249 0.1601  2 H 1.68
B1 0.0466 0.5508 0.4031  2 H 1.20
H3 0.8750 0.8560 0.2672  1 B 1.20
H4 0.0063 0.2943 0.2049  1 H 0.93

> What is the electronic total energy in the second record?

-6.259 eV per atom